(1)
A geometry-optimized Tb8Ag2Ir structure, computed with PBE.

a = 17.5939 Å, b = 5.2160 Å, c = 6.8456 Å
α = 90.00°, β = 107.06°, γ = 90.00°
With the nearest neighbours (Å) after each atom.
Space group C2/m (No. 12)
Unique sites:
Tb: 0.0273 0.0000 0.2913 (multiplicity 4)  1 Ag 2.92, 2 Ir 3.08, 1 Tb 3.27
Tb: 0.0892 0.5000 0.9332 (multiplicity 4)  1 Ir 2.92
Tb: 0.1595 0.5000 0.4730 (multiplicity 4)  1 Ir 2.87, 1 Ag 2.94
Tb: 0.2012 0.0000 0.8134 (multiplicity 4)  1 Ag 2.90
Ag: 0.1833 0.0000 0.2208 (multiplicity 4)  5 Tb 2.90-3.22
Ir: 0.0000 0.5000 0.5000 (multiplicity 2)  8 Tb 2.87-3.08

Computed properties:
For the density of states at the Fermi level, the calculation gives 0.937 states/eV per atom. The electronic total energy is -109.20 eV per cell. As for the calculated volume: 27.3 A^3/atom.

***

(2)
A geometry-optimized Tb7Ag2Ir2 structure, computed with PBE.

a = 8.0633 Å, b = 10.8262 Å, c = 7.1112 Å
α = 90.00°, β = 90.00°, γ = 90.00°
With the nearest neighbours (Å) after each atom.
Space group Cmmm (No. 65)
Unique sites:
Tb: 0.0000 0.0000 0.0000 (multiplicity 2)  2 Ir 3.11
Tb: 0.0000 0.5000 0.2468 (multiplicity 4)  2 Ir 2.90, 2 Ag 3.15
Tb: 0.2500 0.2500 0.2535 (multiplicity 8)  2 Ir 2.73
Ag: 0.1799 0.0000 0.5000 (multiplicity 4)  1 Ag 2.90, 2 Tb 3.15
Ir: 0.0000 0.2873 0.0000 (multiplicity 4)  6 Tb 2.73-2.90

Computed properties:
For the density of states at the Fermi level, the calculation gives 1.090 states/eV per atom. The electronic total energy is -119.79 eV per cell. As for the calculated volume: 28.2 A^3/atom.

***

(3)
A geometry-optimized Tb8AgIr2 structure, computed with PBE.

a = 8.6124 Å, b = 13.0129 Å, c = 5.6257 Å
α = 90.00°, β = 104.60°, γ = 90.00°
With the nearest neighbours (Å) after each atom.
Space group Cm (No. 8)
Unique sites:
Tb: 0.0000 0.0000 0.0000 (multiplicity 2)  2 Ir 3.06, 1 Ag 3.18, 3 Tb 3.39-3.43
Tb: 0.0804 0.3706 0.7841 (multiplicity 4)  2 Ir 2.86
Tb: 0.1783 0.1294 0.6084 (multiplicity 4)  2 Ir 2.86
Tb: 0.2590 0.5000 0.3926 (multiplicity 2)  2 Ir 3.06, 1 Ag 3.18, 3 Tb 3.39-3.43
Tb: 0.3793 0.2420 0.1962 (multiplicity 4)  2 Ir 2.94, 1 Ag 3.15
Ag: 0.3796 0.0000 0.1947 (multiplicity 2)  4 Tb 3.15-3.18
Ir: 0.3794 0.3074 0.6964 (multiplicity 4)  8 Tb 2.86-3.06

Computed properties:
For the density of states at the Fermi level, the calculation gives 1.180 states/eV per atom. The electronic total energy is -122.90 eV per cell. As for the calculated volume: 27.7 A^3/atom.

***

(4)
A geometry-optimized Tb7AgIr4 structure, computed with PBE.

a = 13.7849 Å, b = 5.3007 Å, c = 9.8860 Å
α = 90.00°, β = 125.99°, γ = 90.00°
With the nearest neighbours (Å) after each atom.
Space group C2/m (No. 12)
Unique sites:
Tb: 0.0000 0.0000 0.0000 (multiplicity 2)  2 Ag 2.65, 4 Ir 2.82-2.86
Tb: 0.0777 0.5000 0.3553 (multiplicity 4)  1 Ir 2.72, 1 Ag 3.01
Tb: 0.1711 0.0000 0.6186 (multiplicity 4)  1 Ir 2.70
Tb: 0.2113 0.5000 0.8732 (multiplicity 4)  4 Ir 2.94-3.10, 1 Tb 3.22
Ag: 0.0000 0.5000 0.0000 (multiplicity 2)  2 Tb 2.65
Ir: 0.0687 0.0000 0.7820 (multiplicity 4)  3 Tb 2.70-2.94
Ir: 0.2052 0.0000 0.3410 (multiplicity 4)  6 Tb 2.72-3.05

Computed properties:
For the density of states at the Fermi level, the calculation gives 0.664 states/eV per atom. The electronic total energy is -153.38 eV per cell. As for the calculated volume: 24.4 A^3/atom.

***

(5)
A geometry-optimized TbAgIr4 structure, computed with PBE.

a = 7.4903 Å, b = 7.4903 Å, c = 7.4903 Å
α = 90.00°, β = 90.00°, γ = 90.00°
With the nearest neighbours (Å) after each atom.
Space group F-43m (No. 216)
Unique sites:
Tb: 0.0000 0.0000 0.0000 (multiplicity 4)  12 Ir 3.11, 4 Ag 3.24
Ag: 0.2500 0.2500 0.2500 (multiplicity 4)  12 Ir 3.10, 4 Tb 3.24
Ir: 0.1248 0.1248 0.6248 (multiplicity 16)  6 Ir 2.64-2.65

Computed properties:
For the density of states at the Fermi level, the calculation gives 1.159 states/eV per atom. The electronic total energy is -178.11 eV per cell. As for the calculated volume: 17.5 A^3/atom.

***

(6)
A geometry-optimized TbThAgIr structure, computed with PBE.

a = 7.2040 Å, b = 7.2040 Å, c = 7.2040 Å
α = 90.00°, β = 90.00°, γ = 90.00°
With the nearest neighbours (Å) after each atom.
Space group F-43m (No. 216)
Unique sites:
Tb: 0.0000 0.0000 0.0000 (multiplicity 4)  4 Ir 3.12, 4 Ag 3.12
Th: 0.0000 0.0000 0.5000 (multiplicity 4)  4 Ir 3.12, 4 Ag 3.12
Ag: 0.2500 0.2500 0.2500 (multiplicity 4)  4 Tb 3.12, 4 Th 3.12
Ir: 0.2500 0.2500 0.7500 (multiplicity 4)  4 Tb 3.12, 4 Th 3.12

Computed properties:
For the density of states at the Fermi level, the calculation gives 0.663 states/eV per atom. The electronic total energy is -102.81 eV per cell. As for the calculated volume: 23.4 A^3/atom.

***

(7)
A geometry-optimized TbZnAgIr structure, computed with PBE.

a = 6.6796 Å, b = 6.6796 Å, c = 6.6796 Å
α = 90.00°, β = 90.00°, γ = 90.00°
With the nearest neighbours (Å) after each atom.
Space group F-43m (No. 216)
Unique sites:
Tb: 0.0000 0.0000 0.0000 (multiplicity 4)  4 Ir 2.89, 4 Ag 2.89
Zn: 0.0000 0.0000 0.5000 (multiplicity 4)  4 Ir 2.89, 4 Ag 2.89
Ag: 0.2500 0.2500 0.2500 (multiplicity 4)  4 Tb 2.89, 4 Zn 2.89
Ir: 0.2500 0.2500 0.7500 (multiplicity 4)  4 Tb 2.89, 4 Zn 2.89

Computed properties:
For the density of states at the Fermi level, the calculation gives 0.316 states/eV per atom. The electronic total energy is -75.46 eV per cell. As for the calculated volume: 18.6 A^3/atom.

***

(8)
A geometry-optimized TbZrAgIr structure, computed with PBE.

a = 6.8959 Å, b = 6.8959 Å, c = 6.8959 Å
α = 90.00°, β = 90.00°, γ = 90.00°
With the nearest neighbours (Å) after each atom.
Space group F-43m (No. 216)
Unique sites:
Tb: 0.0000 0.0000 0.0000 (multiplicity 4)  4 Ir 2.99, 4 Ag 2.99
Zr: 0.0000 0.0000 0.5000 (multiplicity 4)  4 Ag 2.99, 4 Ir 2.99
Ag: 0.2500 0.2500 0.2500 (multiplicity 4)  4 Tb 2.99, 4 Zr 2.99
Ir: 0.2500 0.2500 0.7500 (multiplicity 4)  4 Zr 2.99, 4 Tb 2.99

Computed properties:
For the density of states at the Fermi level, the calculation gives 0.872 states/eV per atom. The electronic total energy is -106.62 eV per cell. As for the calculated volume: 20.5 A^3/atom.

***

(9)
A geometry-optimized TcAgIr3 structure, computed with PBE.

a = 4.7016 Å, b = 4.7016 Å, c = 4.7016 Å
α = 90.00°, β = 90.00°, γ = 90.00°
With the nearest neighbours (Å) after each atom.
Space group Pm-3m (No. 221)
Unique sites:
Tc: 0.0000 0.0000 0.0000 (multiplicity 1)  6 Ir 2.35
Ag: 0.5000 0.5000 0.5000 (multiplicity 1)  12 Ir 3.32
Ir: 0.0000 0.0000 0.5000 (multiplicity 3)  2 Tc 2.35

Computed properties:
For the density of states at the Fermi level, the calculation gives 0.893 states/eV per atom. The electronic total energy is -31.71 eV per cell. As for the calculated volume: 20.8 A^3/atom.

***

(10)
A geometry-optimized TcAgIr2 structure, computed with PBE.

a = 7.1884 Å, b = 7.1884 Å, c = 5.3754 Å
α = 90.00°, β = 90.00°, γ = 90.00°
With the nearest neighbours (Å) after each atom.
Space group I-42d (No. 122)
Unique sites:
Tc: 0.0000 0.0000 0.0000 (multiplicity 4)  4 Ir 2.42, 2 Ag 2.69
Ag: 0.0000 0.0000 0.5000 (multiplicity 4)  2 Tc 2.69, 4 Ir 2.85
Ir: 0.2060 0.2500 0.1250 (multiplicity 8)  2 Tc 2.42

Computed properties:
For the density of states at the Fermi level, the calculation gives 0.495 states/eV per atom. The electronic total energy is -112.19 eV per cell. As for the calculated volume: 17.4 A^3/atom.

***

(11)
A geometry-optimized TcAgIr2 structure, computed with PBE.

a = 9.2589 Å, b = 2.7552 Å, c = 4.8451 Å
α = 90.00°, β = 100.10°, γ = 90.00°
With the nearest neighbours (Å) after each atom.
Space group Cm (No. 8)
Unique sites:
Tc: 0.0000 0.0000 0.0000 (multiplicity 2)  7 Ir 2.68-2.88, 2 Tc 2.76, 3 Ag 2.79-2.91
Ag: 0.2620 0.5000 0.2823 (multiplicity 2)  7 Ir 2.72-2.83, 2 Ag 2.76, 3 Tc 2.79-2.91
Ir: 0.0195 0.5000 0.5279 (multiplicity 2)  4 Tc 2.70-2.88, 5 Ir 2.71-2.93, 3 Ag 2.72-2.83
Ir: 0.2573 0.0000 0.7886 (multiplicity 2)  3 Tc 2.68-2.75, 5 Ir 2.71-2.93, 4 Ag 2.75-2.82

Computed properties:
For the density of states at the Fermi level, the calculation gives 1.406 states/eV per atom. The electronic total energy is -59.63 eV per cell. As for the calculated volume: 15.2 A^3/atom.

***

(12)
A geometry-optimized TcAgIr2 structure, computed with PBE.

a = 2.7611 Å, b = 2.7611 Å, c = 27.7992 Å
α = 90.00°, β = 90.00°, γ = 120.00°
With the nearest neighbours (Å) after each atom.
Space group R3m (No. 160, hexagonal axes)
Unique sites:
Tc: 0.0000 0.0000 0.0000 (multiplicity 3)  3 Ir 2.63, 6 Tc 2.76
Ag: 0.0000 0.0000 0.2443 (multiplicity 3)  6 Ag 2.76, 3 Ir 2.91, 3 Tc 2.94
Ir: 0.0000 0.0000 0.4902 (multiplicity 3)  9 Ir 2.76-2.78, 3 Ag 2.91
Ir: 0.0000 0.0000 0.7418 (multiplicity 3)  3 Tc 2.63, 9 Ir 2.76-2.78

Computed properties:
For the density of states at the Fermi level, the calculation gives 1.008 states/eV per atom. The electronic total energy is -90.65 eV per cell. As for the calculated volume: 15.3 A^3/atom.

***

(13)
A geometry-optimized Tc2AgIr2 structure, computed with PBE.

a = 7.6447 Å, b = 7.6447 Å, c = 2.7260 Å
α = 90.00°, β = 90.00°, γ = 90.00°
With the nearest neighbours (Å) after each atom.
Space group P4/mbm (No. 127)
Unique sites:
Tc: 0.1704 0.3296 0.0000 (multiplicity 4)  6 Ir 2.62-2.65, 2 Tc 2.73
Ag: 0.0000 0.0000 0.5000 (multiplicity 2)  2 Ag 2.73, 4 Ir 3.03
Ir: 0.1228 0.6228 0.5000 (multiplicity 4)  6 Tc 2.62-2.65, 3 Ir 2.66-2.73

Computed properties:
For the density of states at the Fermi level, the calculation gives 0.984 states/eV per atom. The electronic total energy is -81.15 eV per cell. As for the calculated volume: 15.9 A^3/atom.

***

(14)
A geometry-optimized TcAgIr2 structure, computed with PBE.

a = 9.2391 Å, b = 2.7399 Å, c = 4.8407 Å
α = 90.00°, β = 99.40°, γ = 90.00°
With the nearest neighbours (Å) after each atom.
Space group C2/m (No. 12)
Unique sites:
Tc: 0.0000 0.0000 0.0000 (multiplicity 2)  6 Ir 2.72-2.79, 2 Tc 2.74, 4 Ag 2.78
Ag: 0.0000 0.5000 0.5000 (multiplicity 2)  2 Ag 2.74, 6 Ir 2.76-2.85, 4 Tc 2.78
Ir: 0.2438 0.5000 0.2366 (multiplicity 4)  6 Ir 2.69-2.88, 3 Tc 2.72-2.79, 3 Ag 2.76-2.85

Computed properties:
For the density of states at the Fermi level, the calculation gives 1.129 states/eV per atom. The electronic total energy is -59.87 eV per cell. As for the calculated volume: 15.1 A^3/atom.